# YInRh2 | the Alexandria database | PBE-GGA | relaxed
data_YInRh2
_space_group_name_H-M_alt 'I -4 m 2'
_space_group_IT_number 119
_space_group_name_Hall 'I -4 -2'
_cell_length_a 3.957
_cell_length_b 3.957
_cell_length_c 9.463
_cell_angle_alpha 90.00
_cell_angle_beta 90.00
_cell_angle_gamma 90.00
loop_
_atom_site_label
_atom_site_fract_x
_atom_site_fract_y
_atom_site_fract_z
Y1 0.000 0.000 0.000
In1 0.000 0.500 0.750
Rh1 0.000 0.000 0.500
Rh2 0.000 0.500 0.250
# - formation enthalpy at 0 K (eV per atom) = -0.605
# - ρ (g/cm3) = 9.2
# - E (eV/atom) = -6.581